1.
First-principles (GGA-PBE) data for crystalline Ba2TlTe2 at its relaxed geometry, as listed in Alexandria.

## Properties
volume = 537.7 Å³ per cell
E_form (uncorrected) = -4.28 eV per formula unit
relative energy among the computed polymorphs = 407 meV/atom

```
data_Ba2TlTe2
_symmetry_space_group_name_H-M 'I 4/m m m'
_symmetry_Int_Tables_number 139
_symmetry_space_group_name_Hall '-I 4 2'
_cell_length_a 6.012
_cell_length_b 6.012
_cell_length_c 14.879
_cell_angle_alpha 90.00
_cell_angle_beta 90.00
_cell_angle_gamma 90.00
loop_
_atom_site_label
_atom_site_fract_x
_atom_site_fract_y
_atom_site_fract_z
Ba1 0.000 0.500 0.250
Tl1 0.000 0.000 0.000
Te1 0.000 0.000 0.361
```

=====

2.
First-principles (GGA-PBE) data for crystalline TeRhCl2 at its relaxed geometry, as listed in Alexandria.

## Properties
volume = 83.0 Å³ per cell
E_form (uncorrected) = 2.50 eV per formula unit
relative energy among the computed polymorphs = 1036 meV/atom

```
data_TeRhCl2
_symmetry_space_group_name_H-M 'P 4/m m m'
_symmetry_Int_Tables_number 123
_symmetry_space_group_name_Hall '-P 4 2'
_cell_length_a 5.099
_cell_length_b 5.099
_cell_length_c 3.191
_cell_angle_alpha 90.00
_cell_angle_beta 90.00
_cell_angle_gamma 90.00
loop_
_atom_site_label
_atom_site_fract_x
_atom_site_fract_y
_atom_site_fract_z
Te1 0.000 0.000 0.000
Rh1 0.500 0.500 0.000
Cl1 0.000 0.500 0.500
```